# 1
# PBE Y2Al3Au, relaxed
data_Y2Al3Au
_cell_length_a 5.7881
_cell_length_b 5.7881
_cell_length_c 9.0773
_cell_angle_alpha 112.91
_cell_angle_beta 112.91
_cell_angle_gamma 77.24
_space_group_name_H-M_alt 'P 1'
_space_group_IT_number 1
loop_
_space_group_symop_operation_xyz
'x,y,z'
loop_
_atom_site_label
_atom_site_fract_x
_atom_site_fract_y
_atom_site_fract_z
Y1 0.2500 0.7500 0.5000
Y2 0.2521 0.7479 0.0000
Y3 0.7500 0.2500 0.5000
Y4 0.7479 0.2521 0.0000
Au1 0.3312 0.3312 0.6625
Au2 0.6688 0.6688 0.3375
Al1 0.1692 0.1692 0.8335
Al2 0.6644 0.6644 0.8335
Al3 0.8308 0.8308 0.1665
Al4 0.8340 0.8340 0.6681
Al5 0.1660 0.1660 0.3319
Al6 0.3356 0.3356 0.1665
# Magnetic moment   0.00 μB per cell
# Raw total energy   -62.5 eV/cell
# Formation energy   -367.7 kJ/mol of formula units
# Space-group type   Fmmm


# 2
# PBE CePmAgAu, relaxed
data_CePmAgAu
_cell_length_a 5.2465
_cell_length_b 5.2465
_cell_length_c 5.2465
_cell_angle_alpha 60.00
_cell_angle_beta 60.00
_cell_angle_gamma 60.00
_space_group_name_H-M_alt 'P 1'
_space_group_IT_number 1
loop_
_space_group_symop_operation_xyz
'x,y,z'
loop_
_atom_site_label
_atom_site_fract_x
_atom_site_fract_y
_atom_site_fract_z
Pm1 0.0000 0.0000 0.0000
Ag1 0.2500 0.2500 0.2500
Au1 0.7500 0.7500 0.7500
Ce1 0.5000 0.5000 0.5000
# Energy above the lowest structure with this stoichiometry   9 meV per atom
# Magnetic moment   1.09 μB per cell
# Raw total energy   -18.5 eV/cell
# Formation energy   -160.4 kJ/mol of formula units
# Space-group type   F-43m


# 3
# PBE BeBiRu3, relaxed
data_BeBiRu3
_cell_length_a 4.2404
_cell_length_b 4.2404
_cell_length_c 4.2404
_cell_angle_alpha 90.00
_cell_angle_beta 90.00
_cell_angle_gamma 90.00
_space_group_name_H-M_alt 'P 1'
_space_group_IT_number 1
loop_
_space_group_symop_operation_xyz
'x,y,z'
loop_
_atom_site_label
_atom_site_fract_x
_atom_site_fract_y
_atom_site_fract_z
Ru1 0.5000 0.0000 0.0000
Ru2 0.0000 0.0000 0.5000
Ru3 0.0000 0.5000 0.0000
Be1 0.0000 0.0000 0.0000
Bi1 0.5000 0.5000 0.5000
# Energy above the lowest structure with this stoichiometry   0 meV per atom
# Magnetic moment   0.00 μB per cell
# Raw total energy   -33.2 eV/cell
# Formation energy   213.2 kJ/mol of formula units
# Space-group type   Pm-3m


# 4
# PBE TlSnGeSe4, relaxed
data_TlSnGeSe4
_cell_length_a 6.6622
_cell_length_b 7.1537
_cell_length_c 9.0427
_cell_angle_alpha 90.00
_cell_angle_beta 108.77
_cell_angle_gamma 90.00
_space_group_name_H-M_alt 'P 1'
_space_group_IT_number 1
loop_
_space_group_symop_operation_xyz
'x,y,z'
loop_
_atom_site_label
_atom_site_fract_x
_atom_site_fract_y
_atom_site_fract_z
Se1 0.9813 0.4911 0.2787
Se2 0.9813 0.0089 0.2787
Se3 0.0187 0.9911 0.7213
Se4 0.0187 0.5089 0.7213
Se5 0.5465 0.2500 0.4158
Se6 0.4535 0.7500 0.5842
Se7 0.5637 0.2500 0.8400
Se8 0.4363 0.7500 0.1600
Ge1 0.7781 0.2500 0.6775
Ge2 0.2219 0.7500 0.3225
Tl1 0.2446 0.2500 0.0630
Tl2 0.7554 0.7500 0.9370
Sn1 0.7766 0.7500 0.4508
Sn2 0.2234 0.2500 0.5492
# Magnetic moment   0.00 μB per cell
# ΔE_f (raw)   -0.29 eV per atom
# Raw total energy   -53.9 eV/cell
# Space-group type   P2_1/m